This record from Alexandria via LeMat-Bulk describes BiP2IrO after structural relaxation. The functional is GGA-PBEsol.

Lattice parameters (Å, degrees): 3.940 5.078 5.078 90.00 90.00 90.00
Element x y z (fractional)
Ir: 0.500 0.500 0.500
Bi: 0.000 0.000 0.000
P: 0.000 0.500 0.000
P: 0.000 0.000 0.500
O: 0.500 0.000 0.000

Properties
Total energy = -4.722 eV per atom
SG = P4/mmm (123)
Mass density = 7.83 g/cm³

---

This record from Alexandria via LeMat-Bulk describes CoSbCl2 after structural relaxation. The functional is GGA-PBEsol.

Lattice parameters (Å, degrees): 2.996 2.996 9.889 90.00 90.00 90.00
Element x y z (fractional)
Sb: 0.500 0.500 0.500
Co: 0.500 0.500 0.000
Cl: 0.000 0.000 0.852
Cl: 0.000 0.000 0.148

Properties
Total energy = -4.011 eV per atom
SG = P4/mmm (123)
Offset from the most stable computed form = 0.2548 eV per atom
Mass density = 4.71 g/cm³

---

Question: Which formula does entry 2 have?
Answer: CoSbCl2

---

Question: The lowest mass density belongs to which entry?
Answer: CoSbCl2

---

Question: Which of these has the lowest total energy?
Answer: BiP2IrO